Entry 1:
# PrTm2Pa

PrTm2Pa after structural relaxation (PBE, Alexandria via LeMat-Bulk).

```
data_PrTm2Pa
_symmetry_space_group_name_H-M 'P 4/m m m'
_symmetry_Int_Tables_number 123
_symmetry_space_group_name_Hall '-P 4 2'
_cell_length_a 3.440
_cell_length_b 3.440
_cell_length_c 10.082
_cell_angle_alpha 90.00
_cell_angle_beta 90.00
_cell_angle_gamma 90.00
loop_
_atom_site_label
_atom_site_fract_x
_atom_site_fract_y
_atom_site_fract_z
_atom_site_occupancy
Pr1 0.000 0.000 0.000 1
Tm1 0.500 0.500 0.272 1
Pa1 0.000 0.000 0.500 1
```

Properties
Formation enthalpy at 0 K: 0.5 eV per formula unit
Volume: 29.82 Å³ per atom
Distance to the lowest polymorph of the same formula: 5 meV per atom

Entry 2:
# PrTm2Pa

PrTm2Pa after structural relaxation (PBE, Alexandria via LeMat-Bulk).

```
data_PrTm2Pa
_symmetry_space_group_name_H-M 'R -3 m'
_symmetry_Int_Tables_number 166
_symmetry_space_group_name_Hall '-R 3 2"'
_cell_length_a 3.3343
_cell_length_b 3.3343
_cell_length_c 36.9119
_cell_angle_alpha 90.00
_cell_angle_beta 90.00
_cell_angle_gamma 120.00
loop_
_atom_site_label
_atom_site_fract_x
_atom_site_fract_y
_atom_site_fract_z
_atom_site_occupancy
Pr1 0.0000 0.0000 0.0000 1
Tm1 0.0000 0.0000 0.4137 1
Pa1 0.0000 0.0000 0.5000 1
```

Properties
Formation enthalpy at 0 K: 1.2 eV per formula unit
Volume: 29.62 Å³ per atom
Distance to the lowest polymorph of the same formula: 190 meV per atom

Number 1: raw total energy -5.68 eV/atom. Number 2: raw total energy -5.50 eV/atom.